Density functional theory data (PBEsol) for a relaxed structure of ErScRu2.

Cell lengths 4.577, 4.577, 4.577 Å; angles 60.00, 60.00, 60.00 degrees
Positions (direct):
Sc 0.000 0.000 0.000
Ru 0.750 0.750 0.750
Ru 0.250 0.250 0.250
Er 0.500 0.500 0.500

Results
**Magnetic moment**: 0.00 μB/f.u.
**ΔH_f (0 K)**: -0.403 eV/atom
**Crystal system**: cubic
**SG**: Fm-3m